Entry P
Crystalline Sc2TaCo2 at its relaxed geometry. Source: Alexandria via LeMat-Bulk, functional PBE.

Structure (POSCAR):
```
Sc2TaCo2
1.0
-0.9614 -6.1797 -0.6514
4.1723 -0.1535 -4.7017
3.1322 -0.7830 2.8051
Co Sc Ta
4 4 2
Cartesian
1.7807 -5.4864 -3.5198
1.4301 -0.8468 -1.8333
-0.0704 -3.8991 -1.0097
3.2813 -2.4341 -4.3433
2.1181 -5.5183 -0.6449
4.3420 -4.7097 -2.9024
4.2250 -1.5979 -1.9031
2.0011 -2.4065 0.3544
1.6054 -3.1666 -2.6765
0.0000 0.0000 0.0000
```

ρ: 7.6 g cm⁻³

Entry Q
Crystalline Sc2TaCo2 at its relaxed geometry. Source: Alexandria via LeMat-Bulk, functional PBE.

Structure (POSCAR):
```
Sc2TaCo2
1.0
0.0512 -3.3565 -1.9644
4.7560 -0.9558 -2.1049
3.2594 -3.5162 2.2309
Co Sc Ta
2 2 1
Cartesian
6.1114 -6.6273 -2.0109
1.9552 -1.2012 0.1724
3.2985 -3.6662 0.5647
4.7681 -4.1623 -2.4032
2.4036 -2.1561 -2.0347
```

ρ: 7.6 g cm⁻³

Which structure is the most stable? The one labeled entry Q.

Entry P
Crystalline ScCoTc at its relaxed geometry. Source: Alexandria via LeMat-Bulk, functional PBE.

Structure (POSCAR):
```
ScCoTc
1.0
-0.5579 -2.3516 -1.5687
1.4796 -0.2281 2.4618
-5.4711 -0.8434 3.2101
Co Sc Tc
1 1 1
Cartesian
-5.4062 -0.8334 3.1721
-1.6439 -1.9159 0.8105
-2.9703 -1.5172 3.3308
```

ρ: 7.3 g cm⁻³

Entry Q
Crystalline ScCoTc at its relaxed geometry. Source: Alexandria via LeMat-Bulk, functional PBE.

Structure (POSCAR):
```
ScCoTc
1.0
-1.9036 -3.8134 2.4860
2.4103 -1.6862 4.1555
-2.0415 0.8201 4.5914
Sc Tc Co
2 2 2
Cartesian
-0.0035 -1.0128 5.7887
-1.5314 -3.6668 5.4442
0.0000 0.0000 0.0000
-0.9518 -1.9067 1.2430
0.2534 -2.7498 3.3208
-1.9725 -1.4966 3.5387
```

ρ: 7.3 g cm⁻³

Which structure is the most stable? The one labeled entry Q.

Entry P
Crystalline ScCoTc at its relaxed geometry. Source: Alexandria via LeMat-Bulk, functional PBE.

Structure (POSCAR):
```
ScCoTc
1.0
-0.7347 -2.9307 2.8368
1.3000 -3.8818 -0.6463
3.1244 -1.5399 2.2457
Tc Co Sc
1 1 1
Cartesian
1.8448 -4.1762 2.2181
2.7672 -6.2643 3.3271
0.0000 0.0000 0.0000
```

ρ: 6.7 g cm⁻³

Entry Q
Crystalline ScCoTc at its relaxed geometry. Source: Alexandria via LeMat-Bulk, functional PBE.

Structure (POSCAR):
```
ScCoTc
1.0
-3.8991 4.5967 0.5810
-4.6401 2.8468 2.6525
1.2512 1.6844 1.8708
Sc Co Tc
1 1 1
Cartesian
-2.0895 3.6496 2.3358
1.1180 1.7628 1.8893
-5.0652 5.4000 2.7500
```

ρ: 7.4 g cm⁻³

Which structure is the most stable? The one labeled entry Q.

Entry P
Crystalline Sc2CoTc2 at its relaxed geometry. Source: Alexandria via LeMat-Bulk, functional PBE.

Structure (POSCAR):
```
Sc2CoTc2
1.0
6.3279 0.0000 0.0000
0.0000 6.3279 0.0000
0.0000 0.0000 4.3075
Co Tc Sc
2 4 4
Cartesian
0.0000 0.0000 0.0000
3.1639 3.1639 0.0000
4.0024 0.8385 0.0000
0.8385 2.3255 0.0000
2.3255 5.4894 0.0000
5.4894 4.0024 0.0000
4.2897 5.2021 2.1537
1.1258 4.2897 2.1537
2.0382 1.1258 2.1537
5.2021 2.0382 2.1537
```

ρ: 6.6 g cm⁻³

Entry Q
Crystalline Sc2CoTc2 at its relaxed geometry. Source: Alexandria via LeMat-Bulk, functional PBE.

Structure (POSCAR):
```
Sc2CoTc2
1.0
-3.7132 -1.1584 0.4664
1.1991 -2.8988 2.3466
-1.8041 1.6846 6.2732
Tc Co Sc
2 1 2
Cartesian
-2.9594 -1.0354 6.7736
-1.3589 -1.3373 2.3126
0.0000 0.0000 0.0000
-0.9311 -1.6214 5.0131
-3.3872 -0.7512 4.0731
```

ρ: 6.1 g cm⁻³

Which structure is the most stable? The one labeled entry P.

Entry P
Crystalline ScCoTc3 at its relaxed geometry. Source: Alexandria via LeMat-Bulk, functional PBE.

Structure (POSCAR):
```
ScCoTc3
1.0
4.4777 0.0000 0.0000
0.0000 4.4777 0.0000
0.0000 0.0000 4.4777
Sc Tc Co
1 3 1
Cartesian
0.0000 0.0000 0.0000
0.0000 0.0000 2.2389
0.0000 2.2389 0.0000
2.2389 0.0000 0.0000
2.2389 2.2389 2.2389
```

ρ: 7.4 g cm⁻³

Entry Q
Crystalline ScCoTc3 at its relaxed geometry. Source: Alexandria via LeMat-Bulk, functional PBE.

Structure (POSCAR):
```
ScCoTc3
1.0
4.4424 0.0000 0.0000
0.0000 4.4424 0.0000
0.0000 0.0000 4.4424
Co Tc Sc
1 3 1
Cartesian
0.0000 0.0000 0.0000
2.2212 0.0000 0.0000
0.0000 0.0000 2.2212
0.0000 2.2212 0.0000
2.2212 2.2212 2.2212
```

ρ: 7.5 g cm⁻³

Which structure is the most stable? The one labeled entry Q.

Entry P
Crystalline Sc4CoTc at its relaxed geometry. Source: Alexandria via LeMat-Bulk, functional PBE.

Structure (POSCAR):
```
Sc4CoTc
1.0
4.4519 0.0001 0.0005
-0.0001 4.4535 0.0012
0.0057 0.0094 6.2884
Tc Sc Co
1 4 1
Cartesian
2.2374 2.2241 6.2776
0.0111 2.2234 4.6979
2.2367 4.4506 4.6987
0.0060 2.2153 1.5685
2.2323 4.4416 1.5690
0.0085 4.4461 3.1337
```

ρ: 4.5 g cm⁻³

Entry Q
Crystalline Sc4CoTc at its relaxed geometry. Source: Alexandria via LeMat-Bulk, functional PBE.

Structure (POSCAR):
```
Sc4CoTc
1.0
-0.6628 3.0796 0.7954
-2.1593 0.1609 -2.4223
-7.9211 -3.4689 6.8305
Sc Tc Co
4 1 1
Cartesian
-7.8321 1.0463 2.6935
-8.2397 -1.3704 5.0752
-2.9111 -1.2747 2.5102
-2.5035 1.1420 0.1285
0.0000 0.0000 0.0000
-5.3716 -0.1142 2.6018
```

ρ: 4.8 g cm⁻³

Which structure is the most stable? The one labeled entry Q.

Entry P
Crystalline Sc4CoTe at its relaxed geometry. Source: Alexandria via LeMat-Bulk, functional PBE.

Structure (POSCAR):
```
Sc4CoTe
1.0
5.2721 0.0000 -1.8256
0.0000 6.0303 0.0000
-0.1460 0.0000 8.1358
Te Co Sc
2 2 8
Cartesian
1.0302 1.5076 -0.0063
4.0959 4.5227 6.3165
3.7801 4.5227 2.1470
1.3460 1.5076 4.1632
3.0112 1.5076 6.0553
5.2039 3.0143 0.6700
-0.0778 6.0294 5.6403
2.1149 4.5227 0.2549
2.9167 1.5076 2.2844
2.2094 4.5227 4.0259
5.2039 0.0009 0.6700
-0.0778 3.0160 5.6403
```

ρ: 4.7 g cm⁻³

Entry Q
Crystalline Sc4CoTe at its relaxed geometry. Source: Alexandria via LeMat-Bulk, functional PBE.

Structure (POSCAR):
```
Sc4CoTe
1.0
6.2247 0.0000 0.0000
0.0000 6.0855 -0.2704
-3.1123 -2.8429 7.5800
Sc Co Te
8 2 2
Cartesian
3.6957 3.8238 4.4933
2.6221 -0.4123 1.7705
0.4903 3.6549 5.5391
3.6026 2.6304 1.6353
-0.5834 -0.5812 2.8163
2.5289 0.7810 4.6285
-0.4903 0.6122 5.6743
0.5834 2.4615 2.6811
1.5562 -1.4215 3.7900
-1.5562 1.6213 3.6548
1.3886 1.5214 -0.0676
4.8360 4.5641 -0.2028
```

ρ: 4.3 g cm⁻³

Entry R
Crystalline Sc4CoTe at its relaxed geometry. Source: Alexandria via LeMat-Bulk, functional PBE.

Structure (POSCAR):
```
Sc4CoTe
1.0
-4.6245 -3.2858 -0.8329
-4.9963 2.4008 -1.4661
-2.0860 -0.7256 -5.2913
Sc Co Te
4 1 1
Cartesian
-4.3774 -0.6022 -2.8382
-6.7096 -2.2593 -3.2582
-6.8971 0.6085 -3.5776
-5.4294 -0.9682 -5.5067
0.0000 0.0000 0.0000
-8.7801 -1.2079 -5.6928
```

ρ: 4.6 g cm⁻³

Which structure is the most stable? The one labeled entry P.

Entry P
Crystalline ScCoTe3 at its relaxed geometry. Source: Alexandria via LeMat-Bulk, functional PBE.

Structure (POSCAR):
```
ScCoTe3
1.0
-3.1557 3.0621 2.4474
-2.5146 0.8290 -4.2795
-3.0071 -3.9066 1.0103
Te Sc Co
3 1 1
Cartesian
-1.5036 -1.9533 0.5051
-1.5779 1.5310 1.2237
-1.2573 0.4145 -2.1398
-4.3387 -0.0078 -0.4109
0.0000 0.0000 0.0000
```

ρ: 6.3 g cm⁻³

Entry Q
Crystalline ScCoTe3 at its relaxed geometry. Source: Alexandria via LeMat-Bulk, functional PBE.

Structure (POSCAR):
```
ScCoTe3
1.0
5.5014 0.0000 0.0000
0.0000 5.5014 0.0000
0.0000 0.0000 5.5014
Co Te Sc
1 3 1
Cartesian
2.7507 2.7507 2.7507
0.0000 2.7507 0.0000
2.7507 0.0000 0.0000
0.0000 0.0000 2.7507
0.0000 0.0000 0.0000
```

ρ: 4.9 g cm⁻³

Which structure is the most stable? The one labeled entry P.

Entry P
Crystalline ThScCo at its relaxed geometry. Source: Alexandria via LeMat-Bulk, functional PBE.

Structure (POSCAR):
```
ThScCo
1.0
5.9053 0.0000 0.0000
0.0000 6.2113 -1.6563
0.0000 1.8325 7.1850
Th Co Sc
4 4 4
Cartesian
3.7677 5.1019 -0.4641
5.0902 2.9125 3.9565
0.8151 5.1313 1.5722
2.1376 2.9419 5.9929
3.9665 4.0047 1.8284
4.8914 1.8154 6.2491
1.0139 6.2285 -0.7203
1.9387 4.0391 3.7003
2.2768 1.9556 2.2272
0.6758 5.9775 4.9915
5.2294 2.0663 0.5372
3.6285 6.0883 3.3016
```

ρ: 7.9 g cm⁻³

Entry Q
Crystalline ThScCo at its relaxed geometry. Source: Alexandria via LeMat-Bulk, functional PBE.

Structure (POSCAR):
```
ThScCo
1.0
5.8614 -0.3608 -0.2889
1.4876 6.7123 -0.5508
1.4820 0.8342 6.6838
Th Sc Co
4 4 4
Cartesian
2.1032 1.3520 2.6005
6.7279 5.8337 3.2436
5.2429 2.0608 0.1766
3.5882 5.1249 5.6675
5.4050 2.7122 3.7085
3.4232 1.5340 5.7523
5.4079 5.6517 0.0918
3.4261 4.4735 2.1356
2.2900 6.3584 0.6630
6.5411 0.8273 5.1811
6.5443 3.7664 1.5635
2.2868 3.4194 4.2807
```

ρ: 8.2 g cm⁻³

Which structure is the most stable? The one labeled entry Q.

Entry P
Crystalline ThScCo at its relaxed geometry. Source: Alexandria via LeMat-Bulk, functional PBE.

Structure (POSCAR):
```
ThScCo
1.0
-3.5963 -4.1134 -1.8219
-1.1700 -0.5510 3.5535
-1.7638 2.5176 -2.2024
Co Th Sc
1 1 1
Cartesian
-0.0302 -0.0345 -0.0153
-4.0488 -2.5945 0.2767
-2.4511 0.4822 -0.7323
```

ρ: 7.8 g cm⁻³

Entry Q
Crystalline ThScCo at its relaxed geometry. Source: Alexandria via LeMat-Bulk, functional PBE.

Structure (POSCAR):
```
ThScCo
1.0
4.6300 0.0000 0.0000
2.3150 4.0097 0.0000
2.3150 1.3366 3.7804
Th Sc Co
1 1 1
Cartesian
4.6300 2.6731 1.8902
0.0000 0.0000 0.0000
2.3150 1.3366 0.9451
```

ρ: 7.9 g cm⁻³

Which structure is the most stable? The one labeled entry P.

Entry P
Crystalline ScTi2Co at its relaxed geometry. Source: Alexandria via LeMat-Bulk, functional PBE.

Structure (POSCAR):
```
ScTi2Co
1.0
-6.9889 -0.8093 1.2884
0.9981 -7.0101 1.0108
-2.5565 -3.4635 3.8104
Ti Co Sc
4 2 2
Cartesian
-5.3342 -2.3003 1.9675
-7.0948 -9.8927 4.9350
-0.4372 -5.2960 1.6622
-4.2284 -5.0768 3.6547
0.0000 0.0000 0.0000
-6.2704 -4.0913 3.1242
-2.9954 -3.9097 1.1496
-2.2769 -7.1916 2.9854
```

ρ: 4.7 g cm⁻³

Entry Q
Crystalline ScTi2Co at its relaxed geometry. Source: Alexandria via LeMat-Bulk, functional PBE.

Structure (POSCAR):
```
ScTi2Co
1.0
-0.4866 2.6115 1.6018
-4.7658 1.0992 -3.2398
-3.1320 -4.0452 5.6437
Sc Ti Co
2 4 2
Cartesian
-4.1628 2.5642 -0.9397
-4.2216 -2.8987 4.9453
-1.6852 -0.7164 2.1580
-4.1722 -0.2082 0.5739
-6.6992 0.3819 1.8477
-4.2121 -0.1263 3.4318
-5.8062 -1.7409 2.5764
-2.5782 1.4064 1.4292
```

ρ: 4.9 g cm⁻³

Entry R
Crystalline ScTi2Co at its relaxed geometry. Source: Alexandria via LeMat-Bulk, functional PBE.

Structure (POSCAR):
```
ScTi2Co
1.0
-0.4125 -3.5697 2.6471
-3.5895 -2.6300 -0.3435
0.3957 -4.1037 -1.7097
Ti Co Sc
2 1 1
Cartesian
-0.9016 -2.5758 0.1485
-2.7048 -7.7275 0.4455
-1.8032 -5.1517 0.2970
0.0000 0.0000 0.0000
```

ρ: 5.3 g cm⁻³

Entry S
Crystalline ScTi2Co at its relaxed geometry. Source: Alexandria via LeMat-Bulk, functional PBE.

Structure (POSCAR):
```
ScTi2Co
1.0
3.0544 0.0000 0.0000
0.0000 3.0544 0.0000
0.0000 0.0000 7.1419
Co Sc Ti
1 1 2
Cartesian
1.5272 1.5272 0.0000
1.5272 1.5272 3.5709
0.0000 0.0000 1.4165
0.0000 0.0000 5.7253
```

ρ: 5.0 g cm⁻³

Which structure is the most stable? The one labeled entry Q.